Record 1
Cr2AsPt: optimized geometry, GGA-PBE.

a = 3.913 Å, b = 3.913 Å, c = 7.319 Å
α = 90.00°, β = 90.00°, γ = 90.00°
Space group I4/mmm (No. 139)
Inequivalent atoms, fractional coordinates:
Cr 0.000 0.500 0.250
As 0.000 0.000 0.000
Pt 0.000 0.000 0.500

Computed properties:
VASP energy: -59.42 eV for the cell shown
density of states at the Fermi level: 8.10 states/eV/cell
DFT formation energy: 22 kJ/mol of formula units
crystal system: tetragonal

Record 2
CrAsPt4: optimized geometry, GGA-PBE.

a = 7.468 Å, b = 7.468 Å, c = 7.468 Å
α = 90.00°, β = 90.00°, γ = 90.00°
Space group F-43m (No. 216)
Inequivalent atoms, fractional coordinates:
Cr 0.000 0.000 0.000
As 0.250 0.250 0.750
Pt 0.125 0.125 0.375

Computed properties:
VASP energy: -149.57 eV for the cell shown
density of states at the Fermi level: 18.58 states/eV/cell
DFT formation energy: 101 kJ/mol of formula units
crystal system: cubic